# CrTeMo SCAN PBEsol geometry
data_CrTeMo
_symmetry_space_group_name_H-M 'P 1'
_symmetry_Int_Tables_number 1
_symmetry_space_group_name_Hall 'P 1'
_cell_length_a 4.283
_cell_length_b 4.283
_cell_length_c 2.986
_cell_angle_alpha 90.00
_cell_angle_beta 90.00
_cell_angle_gamma 120.00
loop_
_atom_site_label
_atom_site_fract_x
_atom_site_fract_y
_atom_site_fract_z
Cr1 0.000 0.000 0.000
Te1 0.333 0.667 0.946
Mo1 0.667 0.333 0.438
# Size of the total moment = 0.00 μB per formula unit
# Energy above the most stable polymorph in this dataset = 87.3 meV per atom
# Total energy = -2.174 Ry/atom
# Space-group type = P3m1, No. 156
# D(E_F) = 1.6 states/eV/cell